(1)
# NaBe3Cr (PBE-GGA, optimized geometry)
data_NaBe3Cr
_cell_length_a 4.007
_cell_length_b 4.007
_cell_length_c 4.007
_cell_angle_alpha 90.00
_cell_angle_beta 90.00
_cell_angle_gamma 90.00
_space_group_name_H-M_alt 'P 1'
_space_group_IT_number 1
loop_
_space_group_symop_operation_xyz
'x,y,z'
loop_
_atom_site_label
_atom_site_type_symbol
_atom_site_fract_x
_atom_site_fract_y
_atom_site_fract_z
Na1 Na 0.000 0.000 0.000
Be1 Be 0.000 0.000 0.500
Be2 Be 0.000 0.500 0.000
Be3 Be 0.500 0.000 0.000
Cr1 Cr 0.500 0.500 0.500
# **Electronic total energy**: -12.3 eV/cell
# **Crystal system**: cubic
# **Space group**: Pm-3m, No. 221
# **ΔH_f (0 K)**: 1.97 eV per atom

***

(2)
# NaBeCr3 (PBE-GGA, optimized geometry)
data_NaBeCr3
_cell_length_a 4.842
_cell_length_b 4.842
_cell_length_c 4.842
_cell_angle_alpha 90.00
_cell_angle_beta 90.00
_cell_angle_gamma 90.00
_space_group_name_H-M_alt 'P 1'
_space_group_IT_number 1
loop_
_space_group_symop_operation_xyz
'x,y,z'
loop_
_atom_site_label
_atom_site_type_symbol
_atom_site_fract_x
_atom_site_fract_y
_atom_site_fract_z
Na1 Na 0.000 0.000 0.000
Be1 Be 0.500 0.500 0.500
Cr1 Cr 0.000 0.000 0.500
Cr2 Cr 0.000 0.500 0.000
Cr3 Cr 0.500 0.000 0.000
# **Electronic total energy**: -22.6 eV/cell
# **Crystal system**: cubic
# **Space group**: Pm-3m, No. 221
# **ΔH_f (0 K)**: 2.27 eV per atom

***

(3)
# NaBe3Cr (PBE-GGA, optimized geometry)
data_NaBe3Cr
_cell_length_a 4.449
_cell_length_b 4.449
_cell_length_c 4.449
_cell_angle_alpha 90.00
_cell_angle_beta 90.00
_cell_angle_gamma 90.00
_space_group_name_H-M_alt 'P 1'
_space_group_IT_number 1
loop_
_space_group_symop_operation_xyz
'x,y,z'
loop_
_atom_site_label
_atom_site_type_symbol
_atom_site_fract_x
_atom_site_fract_y
_atom_site_fract_z
Na1 Na 0.000 0.000 0.000
Be1 Be 0.000 0.500 0.500
Be2 Be 0.500 0.000 0.500
Be3 Be 0.500 0.500 0.000
Cr1 Cr 0.500 0.500 0.500
# **Electronic total energy**: -16.5 eV/cell
# **Crystal system**: cubic
# **Space group**: Pm-3m, No. 221
# **ΔH_f (0 K)**: 1.13 eV per atom

***

(4)
# NaBeCr3 (PBE-GGA, optimized geometry)
data_NaBeCr3
_cell_length_a 4.123
_cell_length_b 4.123
_cell_length_c 4.123
_cell_angle_alpha 90.00
_cell_angle_beta 90.00
_cell_angle_gamma 90.00
_space_group_name_H-M_alt 'P 1'
_space_group_IT_number 1
loop_
_space_group_symop_operation_xyz
'x,y,z'
loop_
_atom_site_label
_atom_site_type_symbol
_atom_site_fract_x
_atom_site_fract_y
_atom_site_fract_z
Na1 Na 0.000 0.000 0.000
Be1 Be 0.500 0.500 0.500
Cr1 Cr 0.000 0.500 0.500
Cr2 Cr 0.500 0.000 0.500
Cr3 Cr 0.500 0.500 0.000
# **Electronic total energy**: -27.1 eV/cell
# **Crystal system**: cubic
# **Space group**: Pm-3m, No. 221
# **ΔH_f (0 K)**: 1.37 eV per atom